Entry from Alexandria: a relaxed structure of NpNi12As6 (PBE-GGA).

The structure in POSCAR format:
```
NpNi12As6
1.0
5.307 3.064 2.720
-5.307 3.064 2.720
0.000 -6.128 2.720
Np Ni As
1 12 6
Direct
0.000 0.000 0.000
0.122 0.500 0.878
0.122 0.878 0.500
0.169 0.425 0.425
0.425 0.169 0.425
0.425 0.425 0.169
0.500 0.122 0.878
0.500 0.878 0.122
0.575 0.575 0.831
0.575 0.831 0.575
0.831 0.575 0.575
0.878 0.122 0.500
0.878 0.500 0.122
0.249 0.249 0.695
0.249 0.695 0.249
0.305 0.751 0.751
0.695 0.249 0.249
0.751 0.305 0.751
0.751 0.751 0.305
```

Results
Size of the total moment, Bohr magnetons per cell: 4.3
Calculated volume, Å³/cell: 265.4
SG: R-3m
Energy, eV per cell: -113.16
E_form, eV per formula unit: -2.94